(1)
# SmCdGaCu

A relaxed structure of SmCdGaCu (GGA-PBE, Alexandria via LeMat-Bulk).

Cell: 4.841 4.841 4.841 Å, 60.00 60.00 60.00°
Fractional positions:
Cu 0.000 0.000 0.000
Ga 0.500 0.500 0.500
Sm 0.250 0.250 0.250
Cd 0.750 0.750 0.750

Calculated formation energy: -1.24 eV/f.u.
Final energy: -3.499 eV per atom
Total magnetic moment: 0.00 μB per cell

(2)
# Sm2CdGa3Cu4

A relaxed structure of Sm2CdGa3Cu4 (GGA-PBE, Alexandria via LeMat-Bulk).

Cell: 4.223 4.223 10.375 Å, 90.00 90.00 90.00°
Fractional positions:
Sm 0.500 0.000 0.235
Sm 0.000 0.500 0.765
Cd 0.500 0.500 0.500
Ga 0.000 0.000 0.500
Ga 0.500 0.000 0.877
Ga 0.000 0.500 0.123
Cu 0.500 0.500 0.000
Cu 0.000 0.000 0.000
Cu 0.500 0.000 0.647
Cu 0.000 0.500 0.353

Calculated formation energy: -3.57 eV/f.u.
Final energy: -3.938 eV per atom
Total magnetic moment: 0.00 μB per cell

(3)
# SrCd2GaCu

A relaxed structure of SrCd2GaCu (GGA-PBE, Alexandria via LeMat-Bulk).

Cell: 5.091 5.091 4.795 Å, 90.00 90.00 90.00°
Fractional positions:
Sr 0.500 0.500 0.500
Cu 0.000 0.000 0.000
Ga 0.000 0.000 0.500
Cd 0.000 0.500 0.000
Cd 0.500 0.000 0.000

Calculated formation energy: -0.60 eV/f.u.
Final energy: -2.246 eV per atom
Total magnetic moment: 0.00 μB per cell

(4)
# Sr2CdGa4Cu3

A relaxed structure of Sr2CdGa4Cu3 (GGA-PBE, Alexandria via LeMat-Bulk).

Cell: 4.362 4.362 10.730 Å, 90.00 90.00 90.00°
Fractional positions:
Sr 0.500 0.000 0.242
Sr 0.000 0.500 0.758
Cd 0.500 0.500 0.500
Ga 0.500 0.500 0.000
Ga 0.000 0.000 0.000
Ga 0.500 0.000 0.645
Ga 0.000 0.500 0.355
Cu 0.000 0.000 0.500
Cu 0.500 0.000 0.878
Cu 0.000 0.500 0.122

Calculated formation energy: -2.88 eV/f.u.
Final energy: -3.156 eV per atom
Total magnetic moment: 0.00 μB per cell

(5)
# Sr2CdGaCu

A relaxed structure of Sr2CdGaCu (GGA-PBE, Alexandria via LeMat-Bulk).

Cell: 5.885 5.885 4.576 Å, 90.00 90.00 90.00°
Fractional positions:
Sr 0.000 0.500 0.000
Sr 0.500 0.000 0.000
Cu 0.000 0.000 0.000
Ga 0.000 0.000 0.500
Cd 0.500 0.500 0.500

Calculated formation energy: -0.82 eV/f.u.
Final energy: -2.445 eV per atom
Total magnetic moment: 0.00 μB per cell

(6)
# TaCd2GaCu

A relaxed structure of TaCd2GaCu (GGA-PBE, Alexandria via LeMat-Bulk).

Cell: 5.435 4.989 5.435 Å, 90.00 90.00 90.00°
Fractional positions:
Cd 0.000 0.000 0.500
Cd 0.500 0.000 0.000
Cu 0.500 0.500 0.500
Ga 0.000 0.500 0.000
Ta 0.000 0.000 0.000

Calculated formation energy: 6.41 eV/f.u.
Final energy: -2.878 eV per atom
Total magnetic moment: 0.00 μB per cell

> Which value of total magnetic moment does entry 4 give?

0.00 μB per cell